Entry 1:
The following is a PBE calculation of a relaxed Pm5Si3Pb3 crystal, from Alexandria.

## Properties
- Total magnetization: 0.00 μB per formula unit
- Energy relative to the elements, uncorrected: -0.15 eV/atom
- VASP energy: -52.83 eV for the cell shown
- DOS at the Fermi energy: 6.53 states/eV/cell
- Calculated volume: 341.1 Å³/cell

abc: 9.6270 9.6270 4.2495
angles: 90.00 90.00 120.00
Positions (direct):
Pm 0.0000 0.7759 0.0000
Pm 0.2241 0.2241 0.0000
Pm 0.3333 0.6667 0.0000
Pm 0.6667 0.3333 0.0000
Pm 0.7759 0.0000 0.0000
Si 0.0000 0.3573 0.0000
Si 0.3573 0.0000 0.0000
Si 0.6427 0.6427 0.0000
Pb 0.0000 0.5327 0.5000
Pb 0.4673 0.4673 0.5000
Pb 0.5327 0.0000 0.5000

Entry 2:
The following is a PBE calculation of a relaxed PuScInAu crystal, from Alexandria.

## Properties
- Formation energy: -0.33 eV per atom
- Total magnetization: 5.70 μB per formula unit
- VASP energy: -28.01 eV for the cell shown
- DOS at the Fermi energy: 9.74 states/eV/cell
- Calculated volume: 94.8 Å³/cell

abc: 5.1182 5.1182 5.1182
angles: 60.00 60.00 60.00
Positions (direct):
Pu 0.0000 0.0000 0.0000
Sc 0.5000 0.5000 0.5000
In 0.2500 0.2500 0.2500
Au 0.7500 0.7500 0.7500

Entry 3:
The following is a PBE calculation of a relaxed MgSc4Tc crystal, from Alexandria.

## Properties
- Formation energy: 0.47 eV per atom
- Total magnetization: 0.00 μB per formula unit
- VASP energy: -34.44 eV for the cell shown
- Distance to the lowest polymorph of the same formula: 556.8 meV/atom
- DOS at the Fermi energy: 7.39 states/eV/cell
- Calculated volume: 128.0 Å³/cell

abc: 5.6571 5.6571 5.6571
angles: 60.00 60.00 60.00
Positions (direct):
Mg 0.0000 0.0000 0.0000
Sc 0.1326 0.6225 0.6225
Sc 0.6225 0.1326 0.6225
Sc 0.6225 0.6225 0.1326
Sc 0.6225 0.6225 0.6225
Tc 0.2500 0.2500 0.2500

Entry 4:
The following is a PBE calculation of a relaxed DyErThTl crystal, from Alexandria.

## Properties
- Formation energy: 0.08 eV per atom
- Total magnetization: 0.49 μB per formula unit
- VASP energy: -18.65 eV for the cell shown
- DOS at the Fermi energy: 8.40 states/eV/cell
- Calculated volume: 115.1 Å³/cell

abc: 5.4598 5.4598 5.4598
angles: 60.00 60.00 60.00
Positions (direct):
Dy 0.0000 0.0000 0.0000
Er 0.5000 0.5000 0.5000
Th 0.2500 0.2500 0.2500
Tl 0.7500 0.7500 0.7500

Entry 5:
The following is a PBE calculation of a relaxed Ge2BiF8 crystal, from Alexandria.

## Properties
- Total magnetization: 0.00 μB per formula unit
- Energy relative to the elements, uncorrected: -2.06 eV/atom
- VASP energy: -50.76 eV for the cell shown
- DOS at the Fermi energy: 1.58 states/eV/cell
- Calculated volume: 164.2 Å³/cell

abc: 5.8497 5.8497 6.1127
angles: 95.49 95.49 52.15
Positions (direct):
Ge 0.2411 0.2411 0.1386
Ge 0.7589 0.7589 0.8614
Bi 0.0000 0.0000 0.5000
F 0.0849 0.6119 0.7024
F 0.1018 0.1018 0.8435
F 0.3881 0.9151 0.2976
F 0.3918 0.3918 0.3336
F 0.6082 0.6082 0.6664
F 0.6119 0.0849 0.7024
F 0.8982 0.8982 0.1565
F 0.9151 0.3881 0.2976

Entry 6:
The following is a PBE calculation of a relaxed Ce2PaZn crystal, from Alexandria.

## Properties
- Formation energy: 0.29 eV per atom
- Total magnetization: 1.04 μB per formula unit
- VASP energy: -21.47 eV for the cell shown
- Distance to the lowest polymorph of the same formula: 333.4 meV/atom
- DOS at the Fermi energy: 11.60 states/eV/cell
- Calculated volume: 109.5 Å³/cell

abc: 8.8540 8.8540 8.8540
angles: 25.05 25.05 25.05
Positions (direct):
Ce 0.0000 0.0000 0.0000
Ce 0.1667 0.1667 0.1667
Pa 0.4393 0.4393 0.4393
Zn 0.5832 0.5832 0.5832